(1)
DFT (PBE) results for a relaxed Ca3AlP3 crystal.

Output
- total magnetic moment (μB per formula unit) = 0.0
- calculated formation energy (eV/atom) = -1.075
- N(E_F) (states/eV/cell) = 0.000
- V (Å³/cell) = 657.4
- energy relative to the lowest polymorph listed for this composition (meV/atom) = 12

abc: 8.095 7.251 11.343
angles: 90.00 99.10 90.00
Space group P2_1/c (No. 14)
Symmetry-distinct sites (fractional):
Ca 0.093 0.239 0.081 (multiplicity 4)
Ca 0.214 0.742 0.219 (multiplicity 4)
Ca 0.402 0.182 0.882 (multiplicity 4)
Al 0.318 0.581 0.962 (multiplicity 4)
P 0.103 0.075 0.338 (multiplicity 4)
P 0.248 0.608 0.490 (multiplicity 4)
P 0.433 0.071 0.642 (multiplicity 4)

(2)
DFT (PBE) results for a relaxed AcZnSn2 crystal.

Output
- total magnetic moment (μB per formula unit) = 0.0
- calculated formation energy (eV/atom) = -0.387
- N(E_F) (states/eV/cell) = 2.237
- V (Å³/cell) = 111.5

abc: 4.792 4.792 4.854
angles: 90.00 90.00 90.00
Space group P4/mmm (No. 123)
Symmetry-distinct sites (fractional):
Ac 0.000 0.000 0.000 (multiplicity 1)
Zn 0.500 0.500 0.000 (multiplicity 1)
Sn 0.000 0.500 0.500 (multiplicity 2)